Entry 1:
DFT (GGA-PBE) results for Rb2MgPbI6 after structural relaxation.

Output
* E above lowest polymorph: 0 meV per atom
* total magnetic moment: 0.000 μB/f.u.
* E: -2.739 eV per atom

a b c (Å): 8.3485 8.6803 14.6143
angles (deg): 90.00 124.79 90.00
Space group P2_1/c (No. 14)
Symmetry-distinct sites (fractional):
Rb: 0.2228 0.0767 0.2481 x4
Mg: 0.0000 0.0000 0.5000 x2
Pb: 0.5000 0.0000 0.0000 x2
I: 0.1388 0.2113 0.9547 x4
I: 0.2466 0.6874 0.9550 x4
I: 0.3295 0.0121 0.7374 x4

=====

Entry 2:
DFT (GGA-PBE) results for MgBPd2 after structural relaxation.

Output
* total magnetic moment: 0.000 μB/f.u.
* calculated formation energy: 0.012 eV/atom
* E: -4.653 eV per atom

a b c (Å): 5.9303 5.9303 5.9303
angles (deg): 90.00 90.00 90.00
Space group Fm-3m (No. 225)
Symmetry-distinct sites (fractional):
Mg: 0.0000 0.0000 0.0000 x4
B: 0.0000 0.0000 0.5000 x4
Pd: 0.2500 0.2500 0.2500 x8

=====

Entry 3:
DFT (GGA-PBE) results for KAgSe4 after structural relaxation.

Output
* E above lowest polymorph: 0 meV per atom
* total magnetic moment: 0.000 μB/f.u.
* E: -3.245 eV per atom

a b c (Å): 5.8998 5.8998 21.2435
angles (deg): 90.00 90.00 90.00
Space group I4_1/amd (No. 141, origin choice 2)
Symmetry-distinct sites (fractional):
K: 0.0000 0.2500 0.3750 x4
Ag: 0.0000 0.2500 0.8750 x4
Se: 0.0000 0.0545 0.2192 x16

=====

Entry 4:
DFT (GGA-PBE) results for LiCu2Ru after structural relaxation.

Output
* E above lowest polymorph: 28 meV per atom
* total magnetic moment: 0.000 μB/f.u.
* calculated formation energy: 0.065 eV/atom
* E: -4.781 eV per atom

a b c (Å): 9.8085 2.4756 4.6970
angles (deg): 90.00 117.06 90.00
Space group Cm (No. 8)
Symmetry-distinct sites (fractional):
Li: 0.0000 0.0000 0.0000 x2
Cu: 0.0022 0.5000 0.4947 x2
Cu: 0.2451 0.0000 0.9328 x2
Ru: 0.2574 0.5000 0.4439 x2

=====

Entry 5:
DFT (GGA-PBE) results for SiNiAu2 after structural relaxation.

Output
* total magnetic moment: 0.082 μB/f.u.
* E: -4.321 eV per atom

a b c (Å): 4.0674 4.0674 3.6776
angles (deg): 90.00 90.00 90.00
Space group P4/mmm (No. 123)
Symmetry-distinct sites (fractional):
Si: 0.0000 0.0000 0.0000 x1
Ni: 0.5000 0.5000 0.0000 x1
Au: 0.0000 0.5000 0.5000 x2

=====

Entry 6:
DFT (GGA-PBE) results for Rb2CaCu2Br6 after structural relaxation.

Output
* total magnetic moment: 0.143 μB/f.u.
* E: -3.286 eV per atom

a b c (Å): 13.3987 7.7944 8.4195
angles (deg): 90.00 119.59 90.00
Space group C2/m (No. 12)
Symmetry-distinct sites (fractional):
Rb: 0.2174 0.0000 0.1964 x4
Ca: 0.0000 0.0000 0.5000 x2
Cu: 0.0555 0.5000 0.2579 x4
Br: 0.0524 0.2446 0.7934 x8
Br: 0.2442 0.0000 0.6269 x4